Compound: MnO2
Source: Alexandria via LeMat-Bulk
Functional: PBE+U
Structure: optimized geometry

The structure in extended XYZ format:
```
3
Lattice="-0.5579 -2.6744 1.0411 0.6620 -1.1519 -2.6043 3.5420 -0.3314 1.0470" Properties=species:S:1:pos:R:3 pbc="T T T"
O 0.0520 -1.9131 -0.7816
O 1.7710 -0.1657 0.5235
Mn 0.0000 0.0000 0.0000
```

## Properties
E_tot: -20.12 eV/cell
DOS at the Fermi energy: 0.647 states/eV per atom
SG: P4/mmm, No. 123
M_tot: 3.00 μB/f.u.
V: 31.70 Å³/cell